## SmGaCuPt (PBE)

Data for a relaxed structure of SmGaCuPt.

Structure (POSCAR):
```
SmGaCuPt
1.0
4.721 0.000 0.000
2.361 4.089 0.000
2.361 1.363 3.855
Ga Cu Sm Pt
1 1 1 1
Direct
0.500 0.500 0.500
0.250 0.250 0.250
0.000 0.000 0.000
0.750 0.750 0.750
```

Properties
spin magnetization = 0.000 μB per formula unit
raw total energy = -5.03 eV/atom